DFT (GGA-PBE) results for a relaxed structure of Ti5Zn4Ga.

Properties
ΔE_f: -250.2 meV/atom
DFT total energy: -5.010 eV/atom
SG: P4/mmm

Cell lengths 2.8398, 2.8398, 19.3110 Å; angles 90.00, 90.00, 90.00 degrees
With the nearest neighbours (Å) after each atom.
Sites, in units of the cell vectors:
Ti 0.0000 0.0000 0.0000  8 Zn 2.79, 4 Ti 2.84
Ti 0.0000 0.0000 0.1999  8 Zn 2.78-2.79, 4 Ti 2.84
Ti 0.0000 0.0000 0.4003  4 Ga 2.78, 4 Zn 2.79, 4 Ti 2.84
Ti 0.0000 0.0000 0.5997  4 Ga 2.78, 4 Zn 2.79, 4 Ti 2.84
Ti 0.0000 0.0000 0.8001  8 Zn 2.78-2.79, 4 Ti 2.84
Zn 0.5000 0.5000 0.1000  8 Ti 2.79, 4 Zn 2.84
Zn 0.5000 0.5000 0.2997  8 Ti 2.78-2.79, 4 Zn 2.84
Zn 0.5000 0.5000 0.7003  8 Ti 2.78-2.79, 4 Zn 2.84
Zn 0.5000 0.5000 0.9000  8 Ti 2.79, 4 Zn 2.84
Ga 0.5000 0.5000 0.5000  8 Ti 2.78, 4 Ga 2.84

DFT (GGA-PBE) results for a relaxed structure of CuBr2Cl.

Properties
DFT total energy: -1.765 eV/atom
Energy relative to the elements, uncorrected: 0.557 eV/atom
SG: F-43m
Energy relative to the lowest polymorph listed for this composition: 795.6 meV/atom

Cell lengths 7.1261, 7.1261, 7.1261 Å; angles 90.00, 90.00, 90.00 degrees
With the nearest neighbours (Å) after each atom.
Sites, in units of the cell vectors:
Cu 0.0000 0.0000 0.0000  4 Cl 3.09, 4 Br 3.09
Cu 0.0000 0.5000 0.5000  4 Cl 3.09, 4 Br 3.09
Cu 0.5000 0.0000 0.5000  4 Cl 3.09, 4 Br 3.09
Cu 0.5000 0.5000 0.0000  4 Cl 3.09, 4 Br 3.09
Br 0.0000 0.0000 0.5000  4 Br 3.09, 4 Cl 3.09
Br 0.0000 0.5000 0.0000  4 Br 3.09, 4 Cl 3.09
Br 0.2500 0.2500 0.7500  4 Br 3.09, 4 Cu 3.09
Br 0.2500 0.7500 0.2500  4 Br 3.09, 4 Cu 3.09
Br 0.5000 0.0000 0.0000  4 Br 3.09, 4 Cl 3.09
Br 0.5000 0.5000 0.5000  4 Br 3.09, 4 Cl 3.09
Br 0.7500 0.2500 0.2500  4 Br 3.09, 4 Cu 3.09
Br 0.7500 0.7500 0.7500  4 Br 3.09, 4 Cu 3.09
Cl 0.2500 0.2500 0.2500  4 Br 3.09, 4 Cu 3.09
Cl 0.2500 0.7500 0.7500  4 Br 3.09, 4 Cu 3.09
Cl 0.7500 0.2500 0.7500  4 Br 3.09, 4 Cu 3.09
Cl 0.7500 0.7500 0.2500  4 Br 3.09, 4 Cu 3.09